Compound: MnGaAs2Br
Source: Alexandria
Functional: GGA-PBE
Structure: relaxed

a = 4.915 Å, b = 4.915 Å, c = 5.264 Å
α = 90.00°, β = 90.00°, γ = 90.00°
Atoms (fractional coordinates):
Mn 0.000 0.000 0.000
Ga 0.500 0.500 0.500
As 0.000 0.500 0.500
As 0.500 0.000 0.500
Br 0.500 0.500 0.000

Computed properties:
* density: 4.628 g/cm³
* E: -3.966 eV per atom
* DOS(E_F): 0.754 states/eV/atom
* ΔE_f (raw): 0.67 eV/atom

***

Compound: MnGaAs2Br
Source: Alexandria
Functional: GGA-PBE
Structure: relaxed

a = 4.599 Å, b = 4.599 Å, c = 6.092 Å
α = 90.00°, β = 90.00°, γ = 90.00°
Atoms (fractional coordinates):
Mn 0.000 0.000 0.000
Ga 0.500 0.500 0.500
As 0.000 0.500 0.000
As 0.500 0.000 0.000
Br 0.000 0.000 0.500

Computed properties:
* density: 4.567 g/cm³
* E: -4.470 eV per atom
* DOS(E_F): 0.278 states/eV/atom
* ΔE_f (raw): 0.16 eV/atom

***

Compound: GaMoAsBr2
Source: Alexandria
Functional: GGA-PBE
Structure: relaxed

a = 5.384 Å, b = 5.384 Å, c = 4.872 Å
α = 90.00°, β = 90.00°, γ = 90.00°
Atoms (fractional coordinates):
Ga 0.000 0.000 0.000
Mo 0.500 0.500 0.500
As 0.500 0.500 0.000
Br 0.000 0.500 0.500
Br 0.500 0.000 0.500

Computed properties:
* density: 4.708 g/cm³
* E: -4.229 eV per atom
* DOS(E_F): 0.304 states/eV/atom
* ΔE_f (raw): 0.14 eV/atom

***

Compound: GaMoAs2Br
Source: Alexandria
Functional: GGA-PBE
Structure: relaxed

a = 4.885 Å, b = 4.885 Å, c = 5.138 Å
α = 90.00°, β = 90.00°, γ = 90.00°
Atoms (fractional coordinates):
Ga 0.000 0.000 0.000
Mo 0.500 0.500 0.500
As 0.000 0.500 0.000
As 0.500 0.000 0.000
Br 0.000 0.000 0.500

Computed properties:
* density: 5.356 g/cm³
* E: -3.939 eV per atom
* DOS(E_F): 0.718 states/eV/atom
* ΔE_f (raw): 1.03 eV/atom